(1)
Crystalline Sr2UO6 at its relaxed geometry. Source: Alexandria, functional PBE.

Cell lengths 4.3059, 5.6199, 11.3414 Å; angles 90.00, 90.00, 90.00 degrees
Closest atoms and distances in Å follow each position.
Space group Immm (No. 71)
One atom of each set of equivalent atoms:
Sr (0.0000, 0.0000, 0.1682) [4 per cell]  8 O 2.55-2.64
U (0.0000, 0.0000, 0.5000) [2 per cell]  4 O 2.06
O (0.0000, 0.2353, 0.3609) [8 per cell]  1 U 2.06
O (0.0000, 0.3151, 0.0000) [4 per cell]  1 O 2.08

Results
**Spin magnetization**: 2.019 μB per formula unit
**E_form (uncorrected)**: -2613 meV/atom
**N(E_F)**: 6.44 states/eV/f.u.

(2)
Crystalline Sr2UO5 at its relaxed geometry. Source: Alexandria, functional PBE.

Cell lengths 4.4227, 12.1841, 11.3915 Å; angles 90.00, 90.00, 90.00 degrees
Closest atoms and distances in Å follow each position.
Space group Cmcm (No. 63)
One atom of each set of equivalent atoms:
Sr (0.0000, 0.1429, 0.0723) [8 per cell]  6 O 2.45-2.72
U (0.0000, 0.1688, 0.7500) [4 per cell]  4 O 2.01-2.08
O (0.0000, 0.0521, 0.6252) [8 per cell]  1 U 2.01
O (0.0000, 0.2788, 0.6099) [8 per cell]  1 U 2.08
O (0.0000, 0.2925, 0.2500) [4 per cell]  2 U 2.26

Results
**Spin magnetization**: 0.000 μB per formula unit
**E_form (uncorrected)**: -3148 meV/atom
**N(E_F)**: 0.00 states/eV/f.u.

(3)
Crystalline Sr4U6O19 at its relaxed geometry. Source: Alexandria, functional PBE.

Cell lengths 10.0812, 10.0812, 10.0812 Å; angles 90.00, 90.00, 90.00 degrees
Closest atoms and distances in Å follow each position.
Space group I23 (No. 197)
One atom of each set of equivalent atoms:
Sr (0.1412, 0.1412, 0.1412) [8 per cell]  4 O 2.47-2.64
U (0.0000, 0.1716, 0.5000) [12 per cell]  6 O 2.13-2.18
O (0.0000, 0.0000, 0.0000) [2 per cell]  4 Sr 2.47
O (0.0000, 0.0000, 0.3680) [12 per cell]  2 U 2.18
O (0.0221, 0.2897, 0.3218) [24 per cell]  2 U 2.13-2.17

Results
**Spin magnetization**: 6.011 μB per formula unit
**E_form (uncorrected)**: -3156 meV/atom
**N(E_F)**: 9.93 states/eV/f.u.

(4)
Crystalline Sr4U2O9 at its relaxed geometry. Source: Alexandria, functional PBE.

Cell lengths 8.6471, 6.2386, 20.1072 Å; angles 90.00, 115.19, 90.00 degrees
Closest atoms and distances in Å follow each position.
Space group P2_1/c (No. 14)
One atom of each set of equivalent atoms:
Sr (0.0684, 0.0521, 0.3264) [4 per cell]  5 O 2.49-2.78
Sr (0.1651, 0.5006, 0.6685) [4 per cell]  6 O 2.45-2.49
Sr (0.2446, 0.5473, 0.5052) [4 per cell]  4 O 2.46-2.69
Sr (0.4106, 0.0456, 0.6659) [4 per cell]  4 O 2.49-2.60
U (0.0000, 0.0000, 0.5000) [2 per cell]  4 O 2.09-2.10
U (0.3344, 0.5057, 0.3372) [4 per cell]  5 O 2.09-2.29
U (0.5000, 0.0000, 0.5000) [2 per cell]  6 O 2.18-2.19
O (0.1011, 0.2121, 0.0553) [4 per cell]  1 U 2.10
O (0.1484, 0.6687, 0.0962) [4 per cell]  1 U 2.09
O (0.1486, 0.0525, 0.8755) [4 per cell]  1 U 2.09
O (0.1917, 0.1828, 0.7442) [4 per cell]  1 U 2.11
O (0.2031, 0.7191, 0.7771) [4 per cell]  1 U 2.13
O (0.2263, 0.5389, 0.9646) [4 per cell]  2 U 2.18-2.36
O (0.4732, 0.2012, 0.4069) [4 per cell]  2 U 2.18-2.36
O (0.4742, 0.0555, 0.2003) [4 per cell]  1 U 2.11
O (0.4971, 0.7142, 0.4363) [4 per cell]  2 U 2.19-2.29

Results
**Spin magnetization**: 1.005 μB per formula unit
**E_form (uncorrected)**: -3150 meV/atom
**N(E_F)**: 3.70 states/eV/f.u.

| no. | calculated volume (Å³/atom) |
| --- | --- |
| 1 | 15.2 |
| 2 | 19.2 |
| 3 | 17.7 |
| 4 | 16.4 |